Record 1
Entry from Alexandria via LeMat-Bulk: KCu3Sn after structural relaxation (PBE).

Lattice parameters (Å, degrees): 5.0786 5.0786 5.0786 90.00 90.00 90.00
Sites, in units of the cell vectors:
Cu 0.0000 0.0000 0.5000
Cu 0.0000 0.5000 0.0000
Cu 0.5000 0.0000 0.0000
Sn 0.5000 0.5000 0.5000
K 0.0000 0.0000 0.0000

Values from the calculation:
For the total magnetization, the calculation gives 0.0 μB per formula unit. For the density of states at the Fermi level, the calculation gives 2.88 states/eV/f.u. Its total energy is -10.1 eV/f.u. Its symmetry is Pm-3m (221).


Record 2
Entry from Alexandria via LeMat-Bulk: ScAu after structural relaxation (PBE).

Lattice parameters (Å, degrees): 9.1617 9.1617 9.1617 21.10 21.10 21.10
Each line ends with the local moment (μB).
Sites, in units of the cell vectors:
Sc 0.5074 0.5074 0.5074  0.32
Sc 0.7426 0.7426 0.7426  0.32
Au 0.2496 0.2496 0.2496  0.01
Au 0.0004 0.0004 0.0004  0.01

Values from the calculation:
For the total magnetization, the calculation gives 0.6 μB per formula unit. For the density of states at the Fermi level, the calculation gives 1.11 states/eV/f.u. Its total energy is -10.3 eV/f.u. Its symmetry is R-3m (166).


Record 3
Entry from Alexandria via LeMat-Bulk: ZrI2Cl after structural relaxation (PBE).

Lattice parameters (Å, degrees): 10.7418 10.7418 8.0122 47.91 47.91 90.00
Each line ends with the local moment (μB).
Sites, in units of the cell vectors:
I 0.3750 0.2234 0.7500  -0.01
I 0.7766 0.1250 0.2500  -0.02
I 0.9734 0.6250 0.2500  -0.02
I 0.8750 0.0266 0.7500  -0.02
Zr 0.0000 0.0000 0.0000  0.72
Zr 0.7500 0.2500 0.5000  0.73
Cl 0.2500 0.7500 0.5000  -0.02
Cl 0.5000 0.5000 0.0000  -0.02

Values from the calculation:
For the total magnetization, the calculation gives 1.0 μB per formula unit. For the density of states at the Fermi level, the calculation gives 2.51 states/eV/f.u. Its total energy is -17.2 eV/f.u. Its symmetry is I-42d (122).


Record 4
Entry from Alexandria via LeMat-Bulk: EuDyGaRu after structural relaxation (PBE).

Lattice parameters (Å, degrees): 4.9965 4.9965 4.9965 60.00 60.00 60.00
Each line ends with the local moment (μB).
Sites, in units of the cell vectors:
Ga 0.7500 0.7500 0.7500  -0.01
Dy 0.5000 0.5000 0.5000  0.01
Eu 0.0000 0.0000 0.0000  6.70
Ru 0.2500 0.2500 0.2500  -0.28

Values from the calculation:
For the total magnetization, the calculation gives 6.6 μB per formula unit. For the density of states at the Fermi level, the calculation gives 4.49 states/eV/f.u. Its total energy is -28.1 eV/f.u. Its symmetry is F-43m (216).


Record 5
Entry from Alexandria via LeMat-Bulk: Sr2TeCl after structural relaxation (PBE).

Lattice parameters (Å, degrees): 5.5679 5.5834 4.0324 90.00 90.00 90.00
Sites, in units of the cell vectors:
Sr 0.0000 0.0000 0.0000
Sr 0.5000 0.5000 0.0000
Cl 0.0000 0.5000 0.5000
Te 0.5000 0.0000 0.5000

Values from the calculation:
For the total magnetization, the calculation gives 0.0 μB per formula unit. For the density of states at the Fermi level, the calculation gives 2.13 states/eV/f.u. Its total energy is -14.2 eV/f.u. Its symmetry is Pmmm (47).


Record 6
Entry from Alexandria via LeMat-Bulk: Ac8HgRh3Br4 after structural relaxation (PBE).

Lattice parameters (Å, degrees): 8.9079 9.7084 8.9071 117.34 120.00 90.00
Sites, in units of the cell vectors:
Ac 0.7329 0.6983 0.4659
Ac 0.2671 0.3017 0.5341
Ac 0.2424 0.6966 0.4847
Ac 0.7122 0.6966 0.9547
Ac 0.7575 0.3034 0.0453
Ac 0.2878 0.3034 0.0453
Ac 0.2425 0.6966 0.9547
Ac 0.7576 0.3034 0.5153
Br 0.5000 0.0000 0.5000
Br 0.0000 0.0000 0.5000
Br 0.5000 0.0000 0.0000
Br 0.0000 0.0000 0.0000
Rh 0.5000 0.5000 0.5000
Rh 0.0000 0.5000 0.5000
Rh 0.5000 0.5000 0.0000
Hg 0.0000 0.5000 0.0000

Values from the calculation:
For the total magnetization, the calculation gives 0.0 μB per formula unit. For the density of states at the Fermi level, the calculation gives 10.45 states/eV/f.u. Its total energy is -78.8 eV/f.u. Its symmetry is C2/m (12).


Record 7
Entry from Alexandria via LeMat-Bulk: Ru2PtBr after structural relaxation (PBE).

Lattice parameters (Å, degrees): 2.7897 2.7897 10.3268 90.00 90.00 120.11
Each line ends with the local moment (μB).
Sites, in units of the cell vectors:
Br 0.0000 0.0000 0.4671  0.01
Ru 0.0000 0.0000 0.0191  0.54
Ru 0.5000 0.5000 0.2251  0.47
Pt 0.5000 0.5000 0.7887  0.04

Values from the calculation:
For the total magnetization, the calculation gives 1.1 μB per formula unit. For the density of states at the Fermi level, the calculation gives 4.53 states/eV/f.u. Its total energy is -23.6 eV/f.u. Its symmetry is Cmm2 (35).


Record 8
Entry from Alexandria via LeMat-Bulk: ThFeCu after structural relaxation (PBE).

Lattice parameters (Å, degrees): 3.7429 3.8293 8.2512 76.58 90.00 90.00
Each line ends with the local moment (μB).
Sites, in units of the cell vectors:
Cu 0.2500 0.7073 0.5854  0.00
Cu 0.7500 0.2927 0.4146  0.00
Th 0.7500 0.1082 0.7836  -0.13
Th 0.2500 0.8918 0.2164  -0.13
Fe 0.7500 0.4606 0.0788  1.01
Fe 0.2500 0.5394 0.9212  1.01

Values from the calculation:
For the total magnetization, the calculation gives 0.8 μB per formula unit. For the density of states at the Fermi level, the calculation gives 2.49 states/eV/f.u. Its total energy is -20.0 eV/f.u. Its symmetry is Cmcm (63).


Record 9
Entry from Alexandria via LeMat-Bulk: HfTa2Cr after structural relaxation (PBE).

Lattice parameters (Å, degrees): 4.6048 4.6048 4.6048 60.00 60.00 60.00
Sites, in units of the cell vectors:
Cr 0.0000 0.0000 0.0000
Ta 0.2500 0.2500 0.2500
Ta 0.7500 0.7500 0.7500
Hf 0.5000 0.5000 0.5000

Values from the calculation:
For the total magnetization, the calculation gives 0.0 μB per formula unit. For the density of states at the Fermi level, the calculation gives 6.06 states/eV/f.u. Its total energy is -42.4 eV/f.u. Its symmetry is Fm-3m (225).


Record 10
Entry from Alexandria via LeMat-Bulk: Y2Zn2Pd after structural relaxation (PBE).

Lattice parameters (Å, degrees): 4.3483 5.5447 9.9998 80.76 77.44 66.91
Sites, in units of the cell vectors:
Y 0.4882 0.6884 0.3351
Y 0.5118 0.3116 0.6649
Y 0.3055 0.2735 0.1155
Y 0.6945 0.7265 0.8845
Pd 0.7803 0.1062 0.3332
Pd 0.2197 0.8938 0.6668
Zn 0.1443 0.2686 0.4429
Zn 0.9811 0.1491 0.8888
Zn 0.8557 0.7314 0.5571
Zn 0.0189 0.8509 0.1112

Values from the calculation:
For the total magnetization, the calculation gives 0.0 μB per formula unit. For the density of states at the Fermi level, the calculation gives 3.58 states/eV/f.u. Its total energy is -23.4 eV/f.u. Its symmetry is C2/m (12).


Record 11
Entry from Alexandria via LeMat-Bulk: KTl2Se2 after structural relaxation (PBE).

Lattice parameters (Å, degrees): 8.6628 8.6628 4.0788 90.00 90.00 90.00
Sites, in units of the cell vectors:
K 0.5000 0.5000 0.0000
K 0.0000 0.0000 0.0000
Se 0.6604 0.1604 0.0000
Se 0.1604 0.3396 0.0000
Se 0.8396 0.6604 0.0000
Se 0.3396 0.8396 0.0000
Tl 0.8624 0.3624 0.5000
Tl 0.1376 0.6376 0.5000
Tl 0.3624 0.1376 0.5000
Tl 0.6376 0.8624 0.5000

Values from the calculation:
For the total magnetization, the calculation gives 0.0 μB per formula unit. For the density of states at the Fermi level, the calculation gives 3.33 states/eV/f.u. Its total energy is -15.2 eV/f.u. Its symmetry is P4/mbm (127).


Record 12
Entry from Alexandria via LeMat-Bulk: La2SnO after structural relaxation (PBE).

Lattice parameters (Å, degrees): 7.3443 7.3443 6.6188 56.30 56.30 90.00
Sites, in units of the cell vectors:
Sn 0.7500 0.2500 0.5000
Sn 0.0000 0.0000 0.0000
La 0.2205 0.6250 0.2500
La 0.8750 0.7795 0.7500
La 0.3750 0.4705 0.7500
La 0.5295 0.1250 0.2500
O 0.5000 0.5000 0.0000
O 0.2500 0.7500 0.5000

Values from the calculation:
For the total magnetization, the calculation gives 0.0 μB per formula unit. For the density of states at the Fermi level, the calculation gives 0.41 states/eV/f.u. Its total energy is -25.7 eV/f.u. Its symmetry is I-42d (122).